# 1
The following is a PBE calculation of crystalline TbSm4Si4 at its relaxed geometry, from Alexandria.

Values from the calculation:
Formation energy from raw total energies, eV per atom: -0.47
Space group: P4_2/n, No. 86
E_tot, eV/atom: -5.495

a b c (Å): 8.970 8.970 5.950
angles (deg): 90.00 90.00 90.00
Fractional coordinates of all 18 atoms:
Tb: 0.250 0.250 0.250
Tb: 0.750 0.750 0.750
Sm: 0.060 0.668 0.117
Sm: 0.168 0.940 0.617
Sm: 0.332 0.560 0.617
Sm: 0.440 0.832 0.117
Sm: 0.560 0.168 0.883
Sm: 0.668 0.440 0.383
Sm: 0.832 0.060 0.383
Sm: 0.940 0.332 0.883
Si: 0.014 0.617 0.607
Si: 0.117 0.986 0.107
Si: 0.383 0.514 0.107
Si: 0.486 0.883 0.607
Si: 0.514 0.117 0.393
Si: 0.617 0.486 0.893
Si: 0.883 0.014 0.893
Si: 0.986 0.383 0.393

# 2
The following is a PBE calculation of crystalline Tb2SmSi at its relaxed geometry, from Alexandria.

Values from the calculation:
Formation energy from raw total energies, eV per atom: -0.17
Space group: R3m, No. 160
Energy relative to the lowest polymorph listed for this composition, eV per formula unit: 0.341
E_tot, eV/atom: -5.022

a b c (Å): 9.952 9.952 9.952
angles (deg): 21.83 21.83 21.83
Fractional coordinates of all 4 atoms:
Tb: 0.000 0.000 0.000
Tb: 0.207 0.207 0.207
Sm: 0.769 0.769 0.769
Si: 0.604 0.604 0.604

# 3
The following is a PBE calculation of crystalline TbSm2Si6 at its relaxed geometry, from Alexandria.

Values from the calculation:
Formation energy from raw total energies, eV per atom: -0.56
Space group: P6/mmm, No. 191
E_tot, eV/atom: -5.737

a b c (Å): 7.126 7.126 4.045
angles (deg): 90.00 90.00 120.00
Fractional coordinates of all 9 atoms:
Tb: 0.000 0.000 0.000
Sm: 0.333 0.667 0.000
Sm: 0.667 0.333 0.000
Si: 0.000 0.332 0.500
Si: 0.000 0.668 0.500
Si: 0.332 0.000 0.500
Si: 0.332 0.332 0.500
Si: 0.668 0.000 0.500
Si: 0.668 0.668 0.500

# 4
The following is a PBE calculation of crystalline TbSmSi2 at its relaxed geometry, from Alexandria.

Values from the calculation:
Formation energy from raw total energies, eV per atom: -0.81
Space group: Pmc2_1, No. 26
Energy relative to the lowest polymorph listed for this composition, eV per formula unit: 0.000
E_tot, eV/atom: -5.856

a b c (Å): 3.881 5.781 8.045
angles (deg): 90.00 90.00 90.00
Fractional coordinates of all 8 atoms:
Tb: 0.000 0.135 0.000
Tb: 0.000 0.865 0.500
Sm: 0.500 0.365 0.360
Sm: 0.500 0.635 0.860
Si: 0.000 0.374 0.644
Si: 0.000 0.626 0.144
Si: 0.500 0.122 0.717
Si: 0.500 0.878 0.217